1.
Ta2NiAs: relaxed, GGA-PBE.

- DFT formation energy (eV/atom) = 0.30
- ρ (g/cm3) = 12.81

Cell lengths 6.3573, 6.3573, 6.3573 Å; angles 90.00, 90.00, 90.00 degrees
With the nearest neighbours (Å) after each atom.
Space group F-43m (No. 216)
Unique sites:
Ta (0.0000, 0.0000, 0.0000)  4 Ta 2.75, 4 Ni 2.75
Ta (0.2500, 0.2500, 0.2500)  4 Ta 2.75, 4 As 2.75
Ni (0.2500, 0.2500, 0.7500)  4 Ta 2.75, 4 As 2.75
As (0.0000, 0.0000, 0.5000)  4 Ni 2.75, 4 Ta 2.75

2.
TaNiAs: relaxed, GGA-PBE.

- DFT formation energy (eV/atom) = -0.30
- ρ (g/cm3) = 11.79

Cell lengths 3.8709, 3.8709, 3.4155 Å; angles 90.00, 90.00, 120.00 degrees
With the nearest neighbours (Å) after each atom.
Space group P-6m2 (No. 187)
Unique sites:
Ta (0.0000, 0.0000, 0.0000)  6 As 2.81, 6 Ni 2.81
Ni (0.3333, 0.6667, 0.5000)  3 As 2.23
As (0.6667, 0.3333, 0.5000)  3 Ni 2.23

Question: Look up the DFT formation energy of the first one.
Answer: 0.30 eV/atom

Question: Among the records above, which one has the highest ρ?
Answer: Ta2NiAs

Question: Look up the DFT formation energy of the first one.
Answer: 0.30 eV/atom